# Sn2Hg2O5 PBE optimized geometry
data_Sn2Hg2O5
_chemical_formula_sum 'Sn2 Hg2 O5'
_cell_length_a 3.743
_cell_length_b 3.743
_cell_length_c 9.606
_cell_angle_alpha 90.00
_cell_angle_beta 90.00
_cell_angle_gamma 90.00
_symmetry_space_group_name_H-M 'P 4/m m m'
_symmetry_Int_Tables_number 123
_symmetry_space_group_name_Hall '-P 4 2'
loop_
_atom_site_label
_atom_site_fract_x
_atom_site_fract_y
_atom_site_fract_z
Sn1 0.000 0.000 0.000
Sn2 0.000 0.000 0.500
Hg1 0.500 0.500 0.240
O1 0.000 0.500 0.372
O2 0.500 0.500 0.000
# energy above the lowest structure with this stoichiometry	3.68	eV/f.u.

# SnHgTeO PBE optimized geometry
data_SnHgTeO
_chemical_formula_sum 'Sn8 Hg8 Te8 O8'
_cell_length_a 6.673
_cell_length_b 8.697
_cell_length_c 14.047
_cell_angle_alpha 90.00
_cell_angle_beta 90.00
_cell_angle_gamma 90.00
_symmetry_space_group_name_H-M 'P b c a'
_symmetry_Int_Tables_number 61
loop_
_symmetry_equiv_pos_as_xyz
'x,y,z'
'-x,-y,-z'
'-x+1/2,-y,z+1/2'
'x+1/2,y,-z+1/2'
'x+1/2,-y+1/2,-z'
'-x+1/2,y+1/2,z'
'-x,y+1/2,-z+1/2'
'x,-y+1/2,z+1/2'
loop_
_atom_site_label
_atom_site_fract_x
_atom_site_fract_y
_atom_site_fract_z
Sn1 0.241 0.239 0.227
Hg1 0.112 0.174 0.038
Te1 0.210 0.081 0.416
O1 0.008 0.628 0.744
# energy above the lowest structure with this stoichiometry	0.13	eV/f.u.